VASP calculation (PBE-GGA) on crystalline BeZn2W at its relaxed geometry.

The structure belongs to space group F-43m (No. 216); the cell edges are 5.976, 5.976 and 5.976 Å and the angles 90.00°, 90.00° and 90.00°. Symmetry generates all atoms from Be at (0.000, 0.000, 0.000), Zn at (0.000, 0.000, 0.500), Zn at (0.250, 0.250, 0.750) and W at (0.250, 0.250, 0.250).

The value obtained for the uncorrected energy is -17.1 eV/f.u.